## CaSnS3 (PBE)

Data for an optimized crystal structure of CaSnS3.

Values from the calculation:
space group: Pm-3m (221)
VASP energy: -3.77 eV per atom
uncorrected formation energy: -91 meV per atom

Unit cell a=5.187 b=5.187 c=5.187 alpha=90.00 beta=90.00 gamma=90.00
Atoms (fractional coordinates):
Sn (0.500, 0.500, 0.500)
S (0.500, 0.000, 0.000)
S (0.000, 0.500, 0.000)
S (0.000, 0.000, 0.500)
Ca (0.000, 0.000, 0.000)

=====

## CaSnS3 (PBE)

Data for an optimized crystal structure of CaSnS3.

Values from the calculation:
space group: I4_1/a (88)
VASP energy: -4.70 eV per atom
uncorrected formation energy: -1026 meV per atom

Unit cell a=13.830 b=13.830 c=13.830 alpha=109.24 beta=109.24 gamma=109.94
Atoms (fractional coordinates):
S (0.532, 0.737, 0.840)
S (0.706, 0.331, 0.917)
S (0.348, 0.909, 0.886)
S (0.353, 0.059, 0.340)
S (0.658, 0.700, 0.159)
S (0.263, 0.103, 0.795)
S (0.500, 0.342, 0.042)
S (0.832, 0.492, 0.279)
S (0.227, 0.288, 0.386)
S (0.592, 0.050, 0.341)
S (0.159, 0.773, 0.061)
S (0.987, 0.647, 0.705)
S (0.167, 0.009, 0.976)
S (0.414, 0.789, 0.083)
S (0.902, 0.841, 0.614)
S (0.441, 0.917, 0.658)
S (0.836, 0.961, 0.417)
S (0.941, 0.282, 0.295)
S (0.309, 0.468, 0.205)
S (0.581, 0.164, 0.125)
S (0.742, 0.963, 0.160)
S (0.718, 0.013, 0.660)
S (0.217, 0.559, 0.476)
S (0.091, 0.977, 0.439)
S (0.991, 0.967, 0.158)
S (0.708, 0.250, 0.659)
S (0.033, 0.191, 0.024)
S (0.803, 0.582, 0.840)
S (0.037, 0.197, 0.779)
S (0.538, 0.652, 0.561)
S (0.300, 0.458, 0.958)
S (0.211, 0.294, 0.625)
S (0.023, 0.462, 0.114)
S (0.213, 0.553, 0.721)
S (0.669, 0.586, 0.375)
S (0.809, 0.833, 0.842)
S (0.950, 0.292, 0.542)
S (0.544, 0.419, 0.583)
S (0.897, 0.691, 0.160)
S (0.508, 0.787, 0.340)
S (0.039, 0.456, 0.875)
S (0.750, 0.408, 0.458)
S (0.542, 0.500, 0.841)
S (0.418, 0.258, 0.221)
S (0.083, 0.741, 0.524)
S (0.259, 0.783, 0.342)
S (0.447, 0.168, 0.660)
S (0.712, 0.098, 0.939)
Ca (0.125, 0.875, 0.250)
Ca (0.245, 0.245, 0.000)
Ca (0.125, 0.875, 0.750)
Ca (0.246, 0.626, 0.132)
Ca (0.005, 0.505, 0.500)
Ca (0.125, 0.375, 0.250)
Ca (0.755, 0.755, 0.000)
Ca (0.004, 0.124, 0.368)
Ca (0.495, 0.995, 0.500)
Ca (0.364, 0.996, 0.120)
Ca (0.494, 0.114, 0.868)
Ca (0.876, 0.244, 0.880)
Ca (0.886, 0.754, 0.380)
Ca (0.625, 0.875, 0.750)
Ca (0.756, 0.636, 0.632)
Ca (0.374, 0.506, 0.620)
Sn (0.866, 0.498, 0.115)
Sn (0.750, 0.250, 0.500)
Sn (0.500, 0.500, 0.000)
Sn (0.502, 0.618, 0.368)
Sn (0.384, 0.252, 0.385)
Sn (0.625, 0.375, 0.750)
Sn (0.748, 0.132, 0.132)
Sn (0.868, 0.000, 0.615)
Sn (0.250, 0.750, 0.500)
Sn (0.625, 0.875, 0.250)
Sn (0.625, 0.375, 0.250)
Sn (0.382, 0.750, 0.885)
Sn (0.125, 0.375, 0.750)
Sn (0.000, 0.000, 0.000)
Sn (0.250, 0.134, 0.632)
Sn (0.000, 0.616, 0.868)

=====

## CaSnS3 (PBE)

Data for an optimized crystal structure of CaSnS3.

Values from the calculation:
space group: Amm2 (38)
VASP energy: -4.49 eV per atom
uncorrected formation energy: -810 meV per atom

Unit cell a=5.241 b=5.241 c=5.494 alpha=90.00 beta=90.00 gamma=116.25
Atoms (fractional coordinates):
S (0.341, 0.100, 0.500)
S (0.100, 0.341, 0.500)
S (0.698, 0.698, 0.000)
Sn (0.684, 0.684, 0.500)
Ca (0.199, 0.199, 0.000)

=====

## CaSnS3 (PBE)

Data for an optimized crystal structure of CaSnS3.

Values from the calculation:
space group: Pm (6)
VASP energy: -4.58 eV per atom
uncorrected formation energy: -906 meV per atom

Unit cell a=9.061 b=6.439 c=9.354 alpha=97.90 beta=90.00 gamma=90.00
Atoms (fractional coordinates):
Sn (0.254, 0.499, 0.736)
Sn (0.750, 0.386, 0.254)
Sn (0.250, 0.386, 0.254)
Sn (0.746, 0.499, 0.736)
S (0.000, 0.400, 0.146)
S (0.716, 0.552, 0.012)
S (0.205, 0.624, 0.488)
S (0.284, 0.552, 0.012)
S (0.500, 0.705, 0.747)
S (0.500, 0.540, 0.312)
S (0.733, 0.013, 0.259)
S (0.000, 0.689, 0.792)
S (0.263, 0.127, 0.680)
S (0.795, 0.624, 0.488)
S (0.267, 0.013, 0.259)
S (0.737, 0.127, 0.680)
Ca (0.000, 0.950, 0.566)
Ca (0.000, 0.810, 0.088)
Ca (0.500, 0.843, 0.067)
Ca (0.500, 0.927, 0.501)

=====

## CaSn2S5 (PBE)

Data for an optimized crystal structure of CaSn2S5.

Values from the calculation:
space group: Pmmn (59)
VASP energy: -4.57 eV per atom
uncorrected formation energy: -738 meV per atom

Unit cell a=3.845 b=6.619 c=18.355 alpha=90.00 beta=90.00 gamma=90.00
Atoms (fractional coordinates):
S (0.500, 0.684, 0.179)
S (0.000, 0.176, 0.105)
S (0.500, 0.824, 0.605)
S (0.500, 0.684, 0.821)
S (0.000, 0.176, 0.895)
S (0.000, 0.720, 0.000)
S (0.500, 0.280, 0.500)
S (0.000, 0.316, 0.321)
S (0.500, 0.824, 0.395)
S (0.000, 0.316, 0.679)
Sn (0.500, 0.473, 0.382)
Sn (0.500, 0.473, 0.618)
Sn (0.000, 0.527, 0.118)
Sn (0.000, 0.527, 0.882)
Ca (0.000, 0.945, 0.500)
Ca (0.500, 0.055, 0.000)

=====

## CaSnS3 (PBE)

Data for an optimized crystal structure of CaSnS3.

Values from the calculation:
space group: P4mm (99)
VASP energy: -4.55 eV per atom
uncorrected formation energy: -868 meV per atom

Unit cell a=4.669 b=4.669 c=6.210 alpha=90.00 beta=90.00 gamma=90.00
Atoms (fractional coordinates):
Sn (0.000, 0.000, 0.807)
S (0.000, 0.000, 0.188)
S (0.000, 0.500, 0.635)
S (0.500, 0.000, 0.635)
Ca (0.500, 0.500, 0.375)

=====

## CaSnS3 (PBE)

Data for an optimized crystal structure of CaSnS3.

Values from the calculation:
space group: P-6c2 (188)
VASP energy: -4.57 eV per atom
uncorrected formation energy: -888 meV per atom

Unit cell a=6.660 b=6.617 c=6.617 alpha=120.00 beta=90.00 gamma=90.00
Atoms (fractional coordinates):
Sn (0.500, 0.667, 0.333)
Sn (0.000, 0.667, 0.333)
S (0.750, 0.664, 0.028)
S (0.250, 0.664, 0.636)
S (0.750, 0.364, 0.336)
S (0.250, 0.972, 0.336)
S (0.250, 0.364, 0.028)
S (0.750, 0.972, 0.636)
Ca (0.500, 0.000, 0.000)
Ca (0.000, 0.000, 0.000)

=====

## CaSn2S5 (PBE)

Data for an optimized crystal structure of CaSn2S5.

Values from the calculation:
space group: Pbam (55)
VASP energy: -4.57 eV per atom
uncorrected formation energy: -743 meV per atom

Unit cell a=7.474 b=9.566 c=10.781 alpha=90.00 beta=90.00 gamma=90.00
Atoms (fractional coordinates):
S (0.500, 0.678, 0.564)
S (0.500, 0.822, 0.064)
S (0.226, 0.000, 0.500)
S (0.729, 0.377, 0.711)
S (0.271, 0.623, 0.289)
S (0.271, 0.377, 0.711)
S (0.271, 0.877, 0.789)
S (0.729, 0.877, 0.789)
S (0.000, 0.864, 0.106)
S (0.271, 0.123, 0.211)
S (0.729, 0.123, 0.211)
S (0.000, 0.364, 0.394)
S (0.729, 0.623, 0.289)
S (0.226, 0.500, 0.000)
S (0.000, 0.136, 0.894)
S (0.774, 0.000, 0.500)
S (0.500, 0.178, 0.936)
S (0.500, 0.322, 0.436)
S (0.000, 0.636, 0.606)
S (0.774, 0.500, 0.000)
Sn (0.000, 0.891, 0.648)
Sn (0.000, 0.391, 0.852)
Sn (0.737, 0.500, 0.500)
Sn (0.000, 0.609, 0.148)
Sn (0.000, 0.109, 0.352)
Sn (0.263, 0.000, 0.000)
Sn (0.737, 0.000, 0.000)
Sn (0.263, 0.500, 0.500)
Ca (0.500, 0.124, 0.671)
Ca (0.500, 0.624, 0.829)
Ca (0.500, 0.876, 0.329)
Ca (0.500, 0.376, 0.171)